Compound: Na2Mg2Al2CuPd
Source: the Open Quantum Materials Database
Functional: PBE
Structure: optimized geometry

Calculated values
total energy: -22.72 eV per cell
SG: P-4m2, No. 115

Cell: 4.6179 4.6179 6.5406 Å, 90.00 90.00 90.00°
Last column: nearest neighbours and their distance in Å.
Sites, in units of the cell vectors:
Al: 0.0000 0.5000 0.2514  4 Na 2.82-2.83, 2 Pd 2.82, 2 Cu 2.83
Al: 0.5000 0.0000 0.7486  4 Na 2.82-2.83, 2 Pd 2.82, 2 Cu 2.83
Cu: 0.0000 0.0000 0.0000  4 Mg 2.83, 4 Al 2.83
Mg: 0.5000 0.0000 0.2493  4 Na 2.83, 2 Cu 2.83, 2 Pd 2.83
Mg: 0.0000 0.5000 0.7507  2 Cu 2.83, 4 Na 2.83, 2 Pd 2.83
Na: 0.5000 0.5000 0.0000  4 Mg 2.83, 4 Al 2.83
Na: 0.0000 0.0000 0.5000  4 Al 2.82, 4 Mg 2.83
Pd: 0.5000 0.5000 0.5000  4 Al 2.82, 4 Mg 2.83

Compound: Na2Mg2Al2CuPt
Source: the Open Quantum Materials Database
Functional: PBE
Structure: optimized geometry

Calculated values
total energy: -24.25 eV per cell
M_tot: 0.00 μB/cell
SG: P-4m2, No. 115

Cell: 4.5916 4.5916 6.5080 Å, 90.00 90.00 90.00°
Last column: nearest neighbours and their distance in Å.
Sites, in units of the cell vectors:
Al: 0.0000 0.5000 0.2595  4 Na 2.78-2.85, 2 Pt 2.78, 2 Cu 2.85
Al: 0.5000 0.0000 0.7405  4 Na 2.78-2.85, 2 Pt 2.78, 2 Cu 2.85
Cu: 0.0000 0.0000 0.0000  4 Mg 2.82, 4 Al 2.85
Mg: 0.5000 0.0000 0.2512  4 Na 2.81-2.82, 2 Pt 2.81, 2 Cu 2.82
Mg: 0.0000 0.5000 0.7488  4 Na 2.81-2.82, 2 Pt 2.81, 2 Cu 2.82
Na: 0.5000 0.5000 0.0000  4 Mg 2.82, 4 Al 2.85
Na: 0.0000 0.0000 0.5000  4 Al 2.78, 4 Mg 2.81
Pt: 0.5000 0.5000 0.5000  4 Al 2.78, 4 Mg 2.81

Compound: MgNbAlCu
Source: the Open Quantum Materials Database
Functional: PBE
Structure: optimized geometry

Calculated values
total energy: -18.08 eV per cell
M_tot: 1.11 μB/cell
SG: F-43m, No. 216

Cell: 4.4968 4.4968 4.4968 Å, 60.00 60.00 60.00°
Last column: nearest neighbours and their distance in Å.
Sites, in units of the cell vectors:
Al: 0.0000 0.0000 0.0000  4 Mg 2.75, 4 Cu 2.75
Cu: 0.7500 0.7500 0.7500  4 Nb 2.75, 4 Al 2.75
Mg: 0.2500 0.2500 0.2500  4 Al 2.75, 4 Nb 2.75
Nb: 0.5000 0.5000 0.5000  4 Cu 2.75, 4 Mg 2.75

Compound: MgNbAlCu
Source: the Open Quantum Materials Database
Functional: PBE
Structure: optimized geometry

Calculated values
total energy: -18.44 eV per cell
M_tot: 1.07 μB/cell
SG: F-43m, No. 216

Cell: 4.4926 4.4926 4.4926 Å, 60.00 60.00 60.00°
Last column: nearest neighbours and their distance in Å.
Sites, in units of the cell vectors:
Al: 0.0000 0.0000 0.0000  4 Cu 2.75, 4 Nb 2.75
Cu: 0.7500 0.7500 0.7500  4 Mg 2.75, 4 Al 2.75
Mg: 0.5000 0.5000 0.5000  4 Nb 2.75, 4 Cu 2.75
Nb: 0.2500 0.2500 0.2500  4 Mg 2.75, 4 Al 2.75

Compound: MgAlCuOs
Source: the Open Quantum Materials Database
Functional: PBE
Structure: optimized geometry

Calculated values
total energy: -20.66 eV per cell
M_tot: 0.00 μB/cell
SG: F-43m, No. 216

Cell: 4.3164 4.3164 4.3164 Å, 60.00 60.00 60.00°
Last column: nearest neighbours and their distance in Å.
Sites, in units of the cell vectors:
Al: 0.0000 0.0000 0.0000  4 Cu 2.64, 4 Os 2.64
Cu: 0.7500 0.7500 0.7500  4 Al 2.64, 4 Mg 2.64
Mg: 0.5000 0.5000 0.5000  4 Os 2.64, 4 Cu 2.64
Os: 0.2500 0.2500 0.2500  4 Mg 2.64, 4 Al 2.64

Compound: Y3Mg3AlCuPd
Source: the Open Quantum Materials Database
Functional: PBE
Structure: optimized geometry

Calculated values
total energy: -40.40 eV per cell
M_tot: 0.04 μB/cell
SG: P-6, No. 174

Cell: 7.6362 7.6362 3.9632 Å, 90.00 90.00 120.00°
Last column: nearest neighbours and their distance in Å.
Sites, in units of the cell vectors:
Al: 0.0000 0.0000 0.0000  3 Mg 2.94, 6 Y 3.12
Cu: 0.6667 0.3333 0.5000  6 Mg 2.71
Mg: 0.4232 0.0924 0.0000  2 Cu 2.71, 1 Al 2.94, 1 Pd 2.97
Mg: 0.9076 0.3308 0.0000  2 Cu 2.71, 1 Al 2.94, 1 Pd 2.97
Mg: 0.6692 0.5768 0.0000  2 Cu 2.71, 1 Al 2.94, 1 Pd 2.97
Pd: 0.3333 0.6667 0.0000  3 Mg 2.97, 6 Y 2.97
Y: 0.2641 0.3485 0.5000  2 Pd 2.97, 2 Al 3.12, 1 Cu 3.13, 2 Mg 3.31
Y: 0.0844 0.7359 0.5000  2 Pd 2.97, 2 Al 3.12, 1 Cu 3.13, 2 Mg 3.31
Y: 0.6515 0.9156 0.5000  2 Pd 2.97, 2 Al 3.12, 1 Cu 3.13, 2 Mg 3.31

Compound: Y3MgAl2CuPd2
Source: the Open Quantum Materials Database
Functional: PBE
Structure: optimized geometry

Calculated values
total energy: -48.57 eV per cell
M_tot: 0.00 μB/cell
SG: Amm2, No. 38

Cell: 3.9607 7.2904 7.2904 Å, 119.23 90.00 90.00°
Last column: nearest neighbours and their distance in Å.
Sites, in units of the cell vectors:
Al: 0.0000 0.9980 0.7609  2 Cu 2.61, 2 Pd 2.81-2.85
Al: 0.0000 0.7609 0.9980  2 Cu 2.61, 2 Pd 2.81-2.85
Cu: 0.5000 0.9893 0.9893  4 Al 2.61, 2 Mg 2.71, 1 Y 2.89
Mg: 0.0000 0.2398 0.2398  2 Cu 2.71, 2 Pd 2.89
Pd: 0.0000 0.6739 0.3331  2 Al 2.81-2.85, 1 Mg 2.89, 6 Y 2.90-3.01
Pd: 0.0000 0.3331 0.6739  2 Al 2.81-2.85, 1 Mg 2.89, 6 Y 2.90-3.01
Y: 0.5000 0.9943 0.4130  4 Pd 2.90-3.01, 1 Cu 3.07, 2 Al 3.21
Y: 0.5000 0.5976 0.5976  1 Cu 2.89, 4 Pd 3.00
Y: 0.5000 0.4130 0.9943  4 Pd 2.90-3.01, 1 Cu 3.07, 2 Al 3.21

Compound: MgZrAl2Cu2Pd2
Source: the Open Quantum Materials Database
Functional: PBE
Structure: optimized geometry

Calculated values
total energy: -39.53 eV per cell
M_tot: 0.00 μB/cell
SG: P-4m2, No. 115

Cell: 4.4713 4.4713 6.2260 Å, 90.00 90.00 90.00°
Last column: nearest neighbours and their distance in Å.
Sites, in units of the cell vectors:
Al: 0.5000 0.5000 0.0000  4 Cu 2.69, 4 Pd 2.72
Al: 0.0000 0.0000 0.5000  4 Pd 2.73, 4 Cu 2.76
Cu: 0.5000 0.0000 0.2396  4 Al 2.69-2.76, 2 Mg 2.69, 2 Zr 2.76
Cu: 0.0000 0.5000 0.7604  2 Mg 2.69, 4 Al 2.69-2.76, 2 Zr 2.76
Mg: 0.0000 0.0000 0.0000  4 Cu 2.69, 4 Pd 2.72
Pd: 0.0000 0.5000 0.2482  4 Al 2.72-2.73, 2 Mg 2.72, 2 Zr 2.73, 1 Cu 3.04
Pd: 0.5000 0.0000 0.7518  2 Mg 2.72, 4 Al 2.72-2.73, 2 Zr 2.73, 1 Cu 3.04
Zr: 0.5000 0.5000 0.5000  4 Pd 2.73, 4 Cu 2.76